Record 1
! Ti3ZnPd, relaxed, DFT PBE; values from VASP
! spin magnetization: 0.0 μB/f.u.
! formation energy from the elements: -21.5 kJ/mol of atoms
! VASP energy: -125.07 eV for the cell shown
&SYSTEM
  ibrav = 0, nat = 20, ntyp = 3
/
ATOMIC_SPECIES
Pd 106.42 Pd.upf
Ti 47.87 Ti.upf
Zn 65.41 Zn.upf
CELL_PARAMETERS angstrom
2.796 0.000 0.000
0.000 9.178 0.000
0.000 0.000 12.649
ATOMIC_POSITIONS angstrom
Pd 0.699 5.957 1.827
Ti 2.097 3.178 8.160
Pd 0.699 7.810 8.152
Ti 0.699 1.082 12.041
Pd 2.097 3.221 10.822
Ti 2.097 5.625 11.909
Ti 0.699 6.000 4.489
Zn 2.097 3.867 3.175
Ti 0.699 3.553 0.740
Ti 0.699 1.036 7.065
Pd 2.097 1.368 4.497
Ti 0.699 3.507 5.716
Zn 0.699 5.311 9.474
Ti 2.097 8.142 5.584
Ti 2.097 5.671 6.933
Ti 2.097 8.096 0.608
Ti 2.097 1.411 1.835
Ti 0.699 7.767 10.814
Zn 2.097 0.722 9.500
Zn 0.699 8.456 3.149

Record 2
! KMgO2F, relaxed, DFT PBE; values from VASP
! spin magnetization: 2.0 μB/f.u.
! formation energy (no corrections): -8.6 eV per formula unit
! VASP energy: -23.05 eV for the cell shown
&SYSTEM
  ibrav = 0, nat = 5, ntyp = 4
/
ATOMIC_SPECIES
K 39.10 K.upf
O 16.00 O.upf
Mg 24.30 Mg.upf
F 19.00 F.upf
CELL_PARAMETERS angstrom
4.091 0.000 0.000
0.000 4.091 0.000
0.000 0.000 4.209
ATOMIC_POSITIONS angstrom
K 2.046 2.046 2.104
O 2.046 0.000 0.000
Mg 0.000 0.000 0.000
O 0.000 2.046 0.000
F 0.000 0.000 2.104

Record 3
! Pr6NdIn5, relaxed, DFT PBE; values from VASP
! spin magnetization: 0.0 μB/f.u.
! formation energy from the elements: -37.9 kJ/mol of atoms
! VASP energy: -51.85 eV for the cell shown
&SYSTEM
  ibrav = 0, nat = 12, ntyp = 3
/
ATOMIC_SPECIES
In 114.82 In.upf
Pr 140.91 Pr.upf
Nd 144.24 Nd.upf
CELL_PARAMETERS angstrom
-4.113 -0.360 3.058
3.452 -7.619 3.746
3.948 8.268 1.967
ATOMIC_POSITIONS angstrom
In 4.228 -0.849 5.588
Pr 1.145 0.820 5.953
Pr -1.126 -2.234 2.539
In 1.726 -3.809 1.873
Pr -0.499 4.449 4.169
In 0.927 -2.501 5.270
Pr 2.141 -0.531 2.818
In 2.359 2.791 3.502
In -0.942 1.138 3.183
Pr 3.785 -4.160 4.602
Nd 0.000 0.000 0.000
Pr 0.464 -5.745 4.265

Record 4
! SmDyGaRh, relaxed, DFT PBE; values from VASP
! spin magnetization: 0.0 μB/f.u.
! formation energy from the elements: -60.7 kJ/mol of atoms
! VASP energy: -22.21 eV for the cell shown
&SYSTEM
  ibrav = 0, nat = 4, ntyp = 4
/
ATOMIC_SPECIES
Rh 102.91 Rh.upf
Dy 162.50 Dy.upf
Ga 69.72 Ga.upf
Sm 150.36 Sm.upf
CELL_PARAMETERS angstrom
-1.687 -4.354 -1.833
3.019 -2.894 -2.769
1.713 -4.334 1.854
ATOMIC_POSITIONS angstrom
Rh 0.000 0.000 0.000
Dy 0.761 -2.895 -0.687
Ga 1.523 -5.791 -1.374
Sm 2.284 -8.686 -2.061

Record 5
! YZrBe2, relaxed, DFT PBE; values from VASP
! spin magnetization: 0.0 μB/f.u.
! formation energy from the elements: 3.9 kJ/mol of atoms
! VASP energy: -22.30 eV for the cell shown
&SYSTEM
  ibrav = 0, nat = 4, ntyp = 3
/
ATOMIC_SPECIES
Zr 91.22 Zr.upf
Be 9.01 Be.upf
Y 88.91 Y.upf
CELL_PARAMETERS angstrom
3.871 0.000 0.000
0.000 3.347 0.355
0.000 1.092 5.736
ATOMIC_POSITIONS angstrom
Zr 1.935 3.482 5.140
Be 0.000 0.626 0.098
Y 0.000 2.046 2.659
Be 1.935 0.505 1.240

Record 6
! LiMgAg2, relaxed, DFT PBE; values from VASP
! spin magnetization: 0.0 μB/f.u.
! formation energy from the elements: -22.0 kJ/mol of atoms
! VASP energy: -10.12 eV for the cell shown
&SYSTEM
  ibrav = 0, nat = 4, ntyp = 3
/
ATOMIC_SPECIES
Ag 107.87 Ag.upf
Li 6.94 Li.upf
Mg 24.30 Mg.upf
CELL_PARAMETERS angstrom
3.367 0.000 0.000
0.000 3.214 -0.012
0.000 3.226 6.372
ATOMIC_POSITIONS angstrom
Ag 0.000 3.219 3.086
Li 1.683 1.610 1.590
Ag 0.000 3.214 0.081
Mg 1.683 4.830 4.770

Record 7
! TbSmAl2, relaxed, DFT PBE; values from VASP
! spin magnetization: 0.0 μB/f.u.
! formation energy from the elements: -13.7 kJ/mol of atoms
! VASP energy: -17.40 eV for the cell shown
&SYSTEM
  ibrav = 0, nat = 4, ntyp = 3
/
ATOMIC_SPECIES
Al 26.98 Al.upf
Tb 158.93 Tb.upf
Sm 150.36 Sm.upf
CELL_PARAMETERS angstrom
-0.635 -2.464 2.607
0.982 -3.473 -0.497
8.391 -0.173 4.426
ATOMIC_POSITIONS angstrom
Al 2.157 -1.533 1.622
Tb 0.000 0.000 0.000
Sm 4.369 -3.055 3.268
Al 6.580 -4.576 4.915

Record 8
! TlPPd2Rh, relaxed, DFT PBE; values from VASP
! spin magnetization: 0.0 μB/f.u.
! formation energy from the elements: 42.9 kJ/mol of atoms
! VASP energy: -23.29 eV for the cell shown
&SYSTEM
  ibrav = 0, nat = 5, ntyp = 4
/
ATOMIC_SPECIES
Rh 102.91 Rh.upf
Pd 106.42 Pd.upf
Tl 204.38 Tl.upf
P 30.97 P.upf
CELL_PARAMETERS angstrom
5.090 0.000 0.000
0.000 4.276 0.000
0.000 0.000 5.090
ATOMIC_POSITIONS angstrom
Rh 0.000 0.000 0.000
Pd 0.000 0.000 2.545
Tl 2.545 2.138 2.545
P 0.000 2.138 0.000
Pd 2.545 0.000 0.000

Record 9
! BaReAg, relaxed, DFT PBE; values from VASP
! spin magnetization: 2.0 μB/f.u.
! formation energy from the elements: 138.4 kJ/mol of atoms
! VASP energy: -12.92 eV for the cell shown
&SYSTEM
  ibrav = 0, nat = 3, ntyp = 3
/
ATOMIC_SPECIES
Re 186.21 Re.upf
Ag 107.87 Ag.upf
Ba 137.33 Ba.upf
CELL_PARAMETERS angstrom
-0.838 -4.677 -1.327
3.785 -3.102 -0.628
0.757 -3.654 3.228
ATOMIC_POSITIONS angstrom
Re 0.926 -2.858 0.318
Ag 0.000 0.000 0.000
Ba 1.851 -5.717 0.636

Record 10
! BaSi2Au, relaxed, DFT PBE; values from VASP
! spin magnetization: 0.0 μB/f.u.
! formation energy (no corrections): -0.9 eV per formula unit
! VASP energy: -16.93 eV for the cell shown
&SYSTEM
  ibrav = 0, nat = 4, ntyp = 3
/
ATOMIC_SPECIES
Ba 137.33 Ba.upf
Au 196.97 Au.upf
Si 28.09 Si.upf
CELL_PARAMETERS angstrom
4.449 -0.132 0.101
2.549 3.649 0.101
2.083 1.047 5.992
ATOMIC_POSITIONS angstrom
Ba 2.258 1.135 1.558
Au 4.520 2.271 3.936
Si 2.148 1.079 5.248
Si 6.780 3.407 4.541

Record 11
! NaFeI2, relaxed, DFT PBE; values from VASP
! spin magnetization: 3.0 μB/f.u.
! formation energy (no corrections): 0.1 eV per formula unit
! VASP energy: -12.82 eV for the cell shown
&SYSTEM
  ibrav = 0, nat = 4, ntyp = 3
/
ATOMIC_SPECIES
I 126.90 I.upf
Na 22.99 Na.upf
Fe 55.84 Fe.upf
CELL_PARAMETERS angstrom
-1.326 -4.238 2.960
-5.110 -1.488 0.392
-1.661 -4.489 -2.360
ATOMIC_POSITIONS angstrom
I -2.024 -2.554 0.248
Na 0.000 0.000 0.000
I -6.073 -7.662 0.743
Fe -4.048 -5.108 0.496

Record 12
! TmPaNi4, relaxed, DFT PBE; values from VASP
! spin magnetization: 0.0 μB/f.u.
! formation energy from the elements: -38.0 kJ/mol of atoms
! VASP energy: -39.46 eV for the cell shown
&SYSTEM
  ibrav = 0, nat = 6, ntyp = 3
/
ATOMIC_SPECIES
Pa 231.04 Pa.upf
Ni 58.69 Ni.upf
Tm 168.93 Tm.upf
CELL_PARAMETERS angstrom
5.042 0.000 0.000
2.521 4.367 0.000
2.521 1.456 4.117
ATOMIC_POSITIONS angstrom
Pa 2.521 1.456 1.029
Ni 3.779 3.640 2.574
Ni 6.305 3.640 2.574
Ni 5.042 2.911 0.511
Tm 0.000 0.000 0.000
Ni 5.042 1.452 2.574